1.
Here is crystalline TlZn2Ru2 at its relaxed geometry from Alexandria. Energies are from GGA-PBE.

Geometry as POSCAR:
```
TlZn2Ru2
1.0
7.032 0.000 0.000
0.000 7.032 0.000
0.000 0.000 3.339
Tl Zn Ru
2 4 4
Direct
0.000 0.000 0.000 Tl
0.500 0.500 0.000 Tl
0.160 0.340 0.500 Zn
0.340 0.840 0.500 Zn
0.660 0.160 0.500 Zn
0.840 0.660 0.500 Zn
0.133 0.633 0.000 Ru
0.367 0.133 0.000 Ru
0.633 0.867 0.000 Ru
0.867 0.367 0.000 Ru
```

Calculated values
Symmetry: No. 127
Energy, eV/cell: -44.61
DOS(E_F), states/eV/f.u.: 4.9



2.
Here is crystalline K5ZrO4 at its relaxed geometry from Alexandria. Energies are from GGA-PBE.

Geometry as POSCAR:
```
K5ZrO4
1.0
7.932 0.000 0.000
0.000 10.071 0.000
0.000 0.000 6.340
K Zr O
10 2 8
Direct
0.008 0.075 0.235 K
0.008 0.425 0.235 K
0.250 0.750 0.286 K
0.492 0.075 0.235 K
0.492 0.425 0.235 K
0.508 0.575 0.765 K
0.508 0.925 0.765 K
0.750 0.250 0.714 K
0.992 0.575 0.765 K
0.992 0.925 0.765 K
0.250 0.250 0.742 Zr
0.750 0.750 0.258 Zr
0.045 0.250 0.556 O
0.250 0.085 0.923 O
0.250 0.415 0.923 O
0.455 0.250 0.556 O
0.545 0.750 0.444 O
0.750 0.585 0.077 O
0.750 0.915 0.077 O
0.955 0.750 0.444 O
```

Calculated values
Symmetry: No. 59
DOS(E_F), states/eV/f.u.: 1.5
Raw formation energy, eV/atom: -1.75



3.
Here is crystalline NaHo2TmSe4 at its relaxed geometry from Alexandria. Energies are from GGA-PBE.

Geometry as POSCAR:
```
NaHo2TmSe4
1.0
7.068 0.000 0.000
0.000 4.039 0.000
-2.293 0.000 6.687
Na Ho Tm Se
1 2 1 4
Direct
0.000 0.000 0.000 Na
0.000 0.500 0.500 Ho
0.500 0.000 0.500 Ho
0.500 0.500 0.000 Tm
0.252 0.000 0.752 Se
0.255 0.500 0.253 Se
0.745 0.500 0.747 Se
0.748 0.000 0.248 Se
```

Calculated values
Symmetry: No. 10
DOS(E_F), states/eV/f.u.: 2.6
Raw formation energy, eV/atom: -1.70



4.
Here is crystalline Ho5Bi4C at its relaxed geometry from Alexandria. Energies are from GGA-PBE.

Geometry as POSCAR:
```
Ho5Bi4C
1.0
-4.768 4.768 3.114
4.768 -4.768 3.114
4.768 4.768 -3.114
Ho Bi C
5 4 1
Direct
0.000 0.000 0.000 Ho
0.187 0.336 0.661 Ho
0.336 0.676 0.149 Ho
0.526 0.187 0.851 Ho
0.676 0.526 0.339 Ho
0.008 0.614 0.767 Bi
0.241 0.008 0.394 Bi
0.614 0.847 0.606 Bi
0.847 0.241 0.233 Bi
0.382 0.382 0.000 C
```

Calculated values
Symmetry: No. 79
Energy, eV/cell: -53.78
DOS(E_F), states/eV/f.u.: 3.3



5.
Here is crystalline Zr3Mn8Re at its relaxed geometry from Alexandria. Energies are from GGA-PBE.

Geometry as POSCAR:
```
Zr3Mn8Re
1.0
2.446 1.412 8.035
-2.446 1.412 8.035
0.000 -2.824 8.035
Zr Mn Re
3 8 1
Direct
0.000 0.000 0.000 Zr
0.127 0.127 0.127 Zr
0.504 0.504 0.504 Zr
0.060 0.563 0.563 Mn
0.066 0.066 0.569 Mn
0.066 0.569 0.066 Mn
0.314 0.314 0.314 Mn
0.563 0.060 0.563 Mn
0.563 0.563 0.060 Mn
0.569 0.066 0.066 Mn
0.814 0.814 0.814 Mn
0.626 0.626 0.626 Re
```

Calculated values
Symmetry: No. 160
Energy, eV/cell: -112.79
DOS(E_F), states/eV/f.u.: 14.4



6.
Here is crystalline Y2ZnGa at its relaxed geometry from Alexandria. Energies are from GGA-PBE.

Geometry as POSCAR:
```
Y2ZnGa
1.0
0.000 3.580 3.580
3.580 0.000 3.580
3.580 3.580 0.000
Y Zn Ga
2 1 1
Direct
0.250 0.250 0.250 Y
0.750 0.750 0.750 Y
0.000 0.000 0.000 Zn
0.500 0.500 0.500 Ga
```

Calculated values
Symmetry: No. 225
Energy, eV/cell: -19.25
DOS(E_F), states/eV/f.u.: 3.2



7.
Here is crystalline La5Tb4Mg at its relaxed geometry from Alexandria. Energies are from GGA-PBE.

Geometry as POSCAR:
```
La5Tb4Mg
1.0
3.730 0.000 0.000
0.000 3.730 0.000
0.000 0.000 24.403
La Tb Mg
5 4 1
Direct
0.000 0.000 0.000 La
0.000 0.000 0.205 La
0.000 0.000 0.410 La
0.000 0.000 0.590 La
0.000 0.000 0.795 La
0.500 0.500 0.102 Tb
0.500 0.500 0.307 Tb
0.500 0.500 0.693 Tb
0.500 0.500 0.898 Tb
0.500 0.500 0.500 Mg
```

Calculated values
Symmetry: No. 123
Energy, eV/cell: -44.73
DOS(E_F), states/eV/f.u.: 14.4



8.
Here is crystalline KCaTa2Cu at its relaxed geometry from Alexandria. Energies are from GGA-PBE.

Geometry as POSCAR:
```
KCaTa2Cu
1.0
4.794 0.000 0.000
0.000 4.794 0.000
0.000 0.000 5.064
K Ca Ta Cu
1 1 2 1
Direct
0.000 0.000 0.000 K
0.000 0.000 0.500 Ca
0.000 0.500 0.000 Ta
0.500 0.000 0.000 Ta
0.500 0.500 0.500 Cu
```

Calculated values
Symmetry: No. 123
Energy, eV/cell: -17.69
DOS(E_F), states/eV/f.u.: 7.0



9.
Here is crystalline DyGa6Tc at its relaxed geometry from Alexandria. Energies are from GGA-PBE.

Geometry as POSCAR:
```
DyGa6Tc
1.0
4.669 2.696 2.113
-4.669 2.696 2.113
0.000 -5.392 2.113
Dy Ga Tc
1 6 1
Direct
0.000 0.000 0.000 Dy
0.218 0.218 0.653 Ga
0.218 0.653 0.218 Ga
0.347 0.782 0.782 Ga
0.653 0.218 0.218 Ga
0.782 0.347 0.782 Ga
0.782 0.782 0.347 Ga
0.500 0.500 0.500 Tc
```

Calculated values
Symmetry: No. 166
Energy, eV/cell: -34.70
DOS(E_F), states/eV/f.u.: 6.1



10.
Here is crystalline CaAl2 at its relaxed geometry from Alexandria. Energies are from GGA-PBE.

Geometry as POSCAR:
```
CaAl2
1.0
3.867 0.000 0.000
0.000 3.867 0.000
0.000 0.000 5.281
Ca Al
1 2
Direct
0.000 0.000 0.000 Ca
0.000 0.500 0.500 Al
0.500 0.000 0.500 Al
```

Calculated values
Symmetry: No. 123
Energy, eV/cell: -9.31
DOS(E_F), states/eV/f.u.: 1.8



11.
Here is crystalline HoPuHgSb at its relaxed geometry from Alexandria. Energies are from GGA-PBE.

Geometry as POSCAR:
```
HoPuHgSb
1.0
0.000 3.750 3.750
3.750 0.000 3.750
3.750 3.750 0.000
Ho Pu Hg Sb
1 1 1 1
Direct
0.000 0.000 0.000 Ho
0.500 0.500 0.500 Pu
0.750 0.750 0.750 Hg
0.250 0.250 0.250 Sb
```

Calculated values
Symmetry: No. 216
DOS(E_F), states/eV/f.u.: 12.0
Raw formation energy, eV/atom: -0.47



12.
Here is crystalline RbScCdFe2 at its relaxed geometry from Alexandria. Energies are from GGA-PBE.

Geometry as POSCAR:
```
RbScCdFe2
1.0
4.958 0.000 0.000
0.000 4.958 0.000
0.000 0.000 5.528
Rb Sc Cd Fe
1 1 1 2
Direct
0.000 0.000 0.000 Rb
0.500 0.500 0.000 Sc
0.000 0.000 0.500 Cd
0.000 0.500 0.500 Fe
0.500 0.000 0.500 Fe
```

Calculated values
Symmetry: No. 123
Energy, eV/cell: -15.68
DOS(E_F), states/eV/f.u.: 6.8



13.
Here is crystalline SmHoGeRh at its relaxed geometry from Alexandria. Energies are from GGA-PBE.

Geometry as POSCAR:
```
SmHoGeRh
1.0
4.166 0.000 0.000
0.000 2.060 5.310
0.000 -2.060 5.310
Sm Ho Ge Rh
1 1 1 1
Direct
0.000 0.000 0.000 Sm
0.500 0.281 0.281 Ho
0.500 0.571 0.571 Ge
0.000 0.725 0.725 Rh
```

Calculated values
Symmetry: No. 38
E above lowest polymorph, meV/atom: 0.0
DOS(E_F), states/eV/f.u.: 3.1



14.
Here is crystalline BiMoAu2 at its relaxed geometry from Alexandria. Energies are from GGA-PBE.

Geometry as POSCAR:
```
BiMoAu2
1.0
-3.920 3.920 2.790
3.920 -3.920 2.790
3.920 3.920 -2.790
Bi Mo Au
2 2 4
Direct
0.000 0.000 0.000 Bi
0.750 0.250 0.500 Bi
0.250 0.750 0.500 Mo
0.500 0.500 0.000 Mo
0.145 0.125 0.520 Au
0.375 0.855 0.980 Au
0.605 0.625 0.480 Au
0.875 0.395 0.020 Au
```

Calculated values
Symmetry: No. 122
Energy, eV/cell: -38.49
DOS(E_F), states/eV/f.u.: 1.0



15.
Here is crystalline YTlSe2 at its relaxed geometry from Alexandria. Energies are from GGA-PBE.

Geometry as POSCAR:
```
YTlSe2
1.0
8.570 -1.870 0.000
8.570 1.870 0.000
-0.029 0.000 4.008
Y Tl Se
1 1 2
Direct
0.000 0.000 0.000 Y
0.220 0.220 0.506 Tl
0.438 0.438 0.498 Se
0.625 0.625 0.004 Se
```

Calculated values
Symmetry: No. 8
Raw formation energy, eV/atom: -1.25



16.
Here is crystalline BaReAu at its relaxed geometry from Alexandria. Energies are from GGA-PBE.

Geometry as POSCAR:
```
BaReAu
1.0
-1.812 1.812 5.798
1.812 -1.812 5.798
1.812 1.812 -5.798
Ba Re Au
1 1 1
Direct
0.000 0.000 0.000 Ba
0.716 0.716 0.000 Re
0.286 0.286 0.000 Au
```

Calculated values
Symmetry: No. 107
E above lowest polymorph, meV/atom: 0.0
DOS(E_F), states/eV/f.u.: 5.1



17.
Here is crystalline Ca8InCu2 at its relaxed geometry from Alexandria. Energies are from GGA-PBE.

Geometry as POSCAR:
```
Ca8InCu2
1.0
4.663 -6.872 0.000
4.663 6.872 0.000
-1.445 0.000 5.540
Ca In Cu
8 1 2
Direct
0.065 0.325 0.584 Ca
0.243 0.757 0.000 Ca
0.325 0.065 0.584 Ca
0.376 0.376 0.191 Ca
0.624 0.624 0.809 Ca
0.675 0.935 0.416 Ca
0.757 0.243 0.000 Ca
0.935 0.675 0.416 Ca
0.000 0.000 0.000 In
0.317 0.683 0.500 Cu
0.683 0.317 0.500 Cu
```

Calculated values
Symmetry: No. 12
Energy, eV/cell: -28.11
DOS(E_F), states/eV/f.u.: 7.7



18.
Here is crystalline AcZn2PdRh at its relaxed geometry from Alexandria. Energies are from GGA-PBE.

Geometry as POSCAR:
```
AcZn2PdRh
1.0
-2.006 2.117 5.949
2.006 -2.117 5.949
2.006 2.117 -5.949
Ac Zn Pd Rh
1 2 1 1
Direct
0.000 0.000 0.000 Ac
0.359 0.359 0.000 Zn
0.724 0.224 0.500 Zn
0.225 0.725 0.500 Pd
0.572 0.572 0.000 Rh
```

Calculated values
Symmetry: No. 44
Energy, eV/cell: -21.77
DOS(E_F), states/eV/f.u.: 2.0



19.
Here is crystalline BePb3 at its relaxed geometry from Alexandria. Energies are from GGA-PBE.

Geometry as POSCAR:
```
BePb3
1.0
0.000 3.803 3.803
3.803 0.000 3.803
3.803 3.803 0.000
Be Pb
1 3
Direct
0.000 0.000 0.000 Be
0.250 0.250 0.250 Pb
0.500 0.500 0.500 Pb
0.750 0.750 0.750 Pb
```

Calculated values
Symmetry: No. 225
E above lowest polymorph, meV/atom: 313.6
DOS(E_F), states/eV/f.u.: 4.0



20.
Here is crystalline NbGaCl2 at its relaxed geometry from Alexandria. Energies are from GGA-PBE.

Geometry as POSCAR:
```
NbGaCl2
1.0
0.000 3.305 3.305
3.305 0.000 3.305
3.305 3.305 0.000
Nb Ga Cl
1 1 2
Direct
0.000 0.000 0.000 Nb
0.500 0.500 0.500 Ga
0.250 0.250 0.250 Cl
0.750 0.750 0.750 Cl
```

Calculated values
Symmetry: No. 225
E above lowest polymorph, meV/atom: 183.7
DOS(E_F), states/eV/f.u.: 0.9
Raw formation energy, eV/atom: 0.11



21.
Here is crystalline PSeBr2 at its relaxed geometry from Alexandria. Energies are from GGA-PBE.

Geometry as POSCAR:
```
PSeBr2
1.0
3.264 -4.007 0.000
3.264 4.007 0.000
0.000 0.000 3.325
P Se Br
1 1 2
Direct
0.000 0.000 0.000 P
0.500 0.500 0.000 Se
0.000 0.500 0.500 Br
0.500 0.000 0.500 Br
```

Calculated values
Symmetry: No. 65
E above lowest polymorph, meV/atom: 996.3
DOS(E_F), states/eV/f.u.: 3.3
Raw formation energy, eV/atom: 0.94



22.
Here is crystalline Sc3Si5 at its relaxed geometry from Alexandria. Energies are from GGA-PBE.

Geometry as POSCAR:
```
Sc3Si5
1.0
4.093 -4.162 0.000
4.093 4.162 0.000
0.000 0.000 3.890
Sc Si
3 5
Direct
0.000 0.000 0.000 Sc
0.280 0.720 0.500 Sc
0.720 0.280 0.500 Sc
0.000 0.500 0.000 Si
0.238 0.238 0.500 Si
0.500 0.000 0.000 Si
0.500 0.500 0.000 Si
0.762 0.762 0.500 Si
```

Calculated values
Symmetry: No. 65
E above lowest polymorph, meV/atom: 223.2
DOS(E_F), states/eV/f.u.: 4.0
Raw formation energy, eV/atom: -0.39



23.
Here is crystalline HfPbSeBr2 at its relaxed geometry from Alexandria. Energies are from GGA-PBE.

Geometry as POSCAR:
```
HfPbSeBr2
1.0
5.636 0.000 0.000
0.000 5.636 0.000
0.000 0.000 5.674
Hf Pb Se Br
1 1 1 2
Direct
0.000 0.000 0.000 Hf
0.500 0.500 0.500 Pb
0.500 0.500 0.000 Se
0.000 0.500 0.500 Br
0.500 0.000 0.500 Br
```

Calculated values
Symmetry: No. 123
E above lowest polymorph, meV/atom: 1010.9
DOS(E_F), states/eV/f.u.: 5.6
Raw formation energy, eV/atom: 0.52



24.
Here is crystalline LaTb6In3 at its relaxed geometry from Alexandria. Energies are from GGA-PBE.

Geometry as POSCAR:
```
LaTb6In3
1.0
6.491 -6.309 0.000
6.491 6.309 0.000
0.000 0.000 7.665
La Tb In
2 12 6
Direct
0.225 0.775 0.500 La
0.775 0.225 0.000 La
0.090 0.495 0.193 Tb
0.170 0.231 0.508 Tb
0.208 0.792 0.962 Tb
0.231 0.170 0.008 Tb
0.476 0.524 0.092 Tb
0.495 0.090 0.693 Tb
0.505 0.910 0.193 Tb
0.524 0.476 0.592 Tb
0.769 0.830 0.508 Tb
0.792 0.208 0.462 Tb
0.830 0.769 0.008 Tb
0.910 0.505 0.693 Tb
0.012 0.988 0.243 In
0.237 0.467 0.805 In
0.467 0.237 0.305 In
0.533 0.763 0.805 In
0.763 0.533 0.305 In
0.988 0.012 0.743 In
```

Calculated values
Symmetry: No. 36
Energy, eV/cell: -85.39
DOS(E_F), states/eV/f.u.: 10.7



25.
Here is crystalline DyMgHgBi at its relaxed geometry from Alexandria. Energies are from GGA-PBE.

Geometry as POSCAR:
```
DyMgHgBi
1.0
0.000 3.746 3.746
3.746 0.000 3.746
3.746 3.746 0.000
Dy Mg Hg Bi
1 1 1 1
Direct
0.000 0.000 0.000 Dy
0.500 0.500 0.500 Mg
0.750 0.750 0.750 Hg
0.250 0.250 0.250 Bi
```

Calculated values
Symmetry: No. 216
Energy, eV/cell: -11.68
DOS(E_F), states/eV/f.u.: 2.0



26.
Here is crystalline Mg2TlPO at its relaxed geometry from Alexandria. Energies are from GGA-PBE.

Geometry as POSCAR:
```
Mg2TlPO
1.0
4.097 0.000 0.000
0.000 4.097 0.000
0.000 0.000 5.315
Mg Tl P O
2 1 1 1
Direct
0.000 0.500 0.000 Mg
0.500 0.000 0.000 Mg
0.000 0.000 0.500 Tl
0.500 0.500 0.500 P
0.500 0.500 0.000 O
```

Calculated values
Symmetry: No. 123
DOS(E_F), states/eV/f.u.: 2.1
Raw formation energy, eV/atom: -0.54